[1]
Compound: VCu2Ni9
Source: Alexandria
Functional: PBE-GGA
Structure: relaxed

Computed properties:
ΔH_f (0 K) in eV per atom: -0.07
Final energy in eV per atom: -5.8436

Structure (CIF):
```
data_VCu2Ni9
_chemical_formula_sum 'V1 Cu2 Ni9'
_symmetry_space_group_name_H-M 'P 4/m m m'
_symmetry_Int_Tables_number 123
_symmetry_space_group_name_Hall '-P 4 2'
_cell_length_a 3.548
_cell_length_b 3.548
_cell_length_c 10.611
_cell_angle_alpha 90.00
_cell_angle_beta 90.00
_cell_angle_gamma 90.00
loop_
_atom_site_label
_atom_site_type_symbol
_atom_site_fract_x
_atom_site_fract_y
_atom_site_fract_z
V1 V 0.000 0.000 0.000
Cu1 Cu 0.000 0.000 0.334
Ni1 Ni 0.000 0.500 0.164
Ni2 Ni 0.000 0.500 0.500
Ni3 Ni 0.500 0.500 0.000
Ni4 Ni 0.500 0.500 0.333
```

[2]
Compound: V2CuNi2
Source: Alexandria
Functional: PBE-GGA
Structure: relaxed

Computed properties:
ΔH_f (0 K) in eV per atom: -0.02
Final energy in eV per atom: -6.7947

Structure (CIF):
```
data_V2CuNi2
_chemical_formula_sum 'V4 Cu2 Ni4'
_symmetry_space_group_name_H-M 'P 4/m b m'
_symmetry_Int_Tables_number 127
_symmetry_space_group_name_Hall '-P 4 2ab'
_cell_length_a 6.962
_cell_length_b 6.962
_cell_length_c 2.571
_cell_angle_alpha 90.00
_cell_angle_beta 90.00
_cell_angle_gamma 90.00
loop_
_atom_site_label
_atom_site_type_symbol
_atom_site_fract_x
_atom_site_fract_y
_atom_site_fract_z
V1 V 0.171 0.329 0.000
Cu1 Cu 0.000 0.000 0.500
Ni1 Ni 0.125 0.625 0.500
```

[3]
Compound: V2CuNi7
Source: Alexandria
Functional: PBE-GGA
Structure: relaxed

Computed properties:
ΔH_f (0 K) in eV per atom: 0.33
Final energy in eV per atom: -5.9535

Structure (CIF):
```
data_V2CuNi7
_chemical_formula_sum 'V4 Cu2 Ni14'
_symmetry_space_group_name_H-M 'C m m m'
_symmetry_Int_Tables_number 65
_symmetry_space_group_name_Hall '-C 2 2'
_cell_length_a 7.495
_cell_length_b 14.013
_cell_length_c 2.448
_cell_angle_alpha 90.00
_cell_angle_beta 90.00
_cell_angle_gamma 90.00
loop_
_atom_site_label
_atom_site_type_symbol
_atom_site_fract_x
_atom_site_fract_y
_atom_site_fract_z
V1 V 0.000 0.175 0.000
Cu1 Cu 0.000 0.500 0.500
Ni1 Ni 0.000 0.000 0.000
Ni2 Ni 0.000 0.322 0.500
Ni3 Ni 0.234 0.405 0.000
```

[4]
Compound: VCuNi3
Source: Alexandria
Functional: PBE-GGA
Structure: relaxed

Computed properties:
ΔH_f (0 K) in eV per atom: 1.08
Final energy in eV per atom: -5.0286

Structure (CIF):
```
data_VCuNi3
_chemical_formula_sum 'V1 Cu1 Ni3'
_symmetry_space_group_name_H-M 'P m -3 m'
_symmetry_Int_Tables_number 221
_symmetry_space_group_name_Hall '-P 4 2 3'
_cell_length_a 4.244
_cell_length_b 4.244
_cell_length_c 4.244
_cell_angle_alpha 90.00
_cell_angle_beta 90.00
_cell_angle_gamma 90.00
loop_
_atom_site_label
_atom_site_type_symbol
_atom_site_fract_x
_atom_site_fract_y
_atom_site_fract_z
V1 V 0.000 0.000 0.000
Cu1 Cu 0.500 0.500 0.500
Ni1 Ni 0.000 0.500 0.500
```

[5]
Compound: VCuNi2
Source: Alexandria
Functional: PBE-GGA
Structure: relaxed

Computed properties:
ΔH_f (0 K) in eV per atom: 0.04
Final energy in eV per atom: -6.1586

Structure (CIF):
```
data_VCuNi2
_chemical_formula_sum 'V1 Cu1 Ni2'
_symmetry_space_group_name_H-M 'P 4/m m m'
_symmetry_Int_Tables_number 123
_symmetry_space_group_name_Hall '-P 4 2'
_cell_length_a 4.125
_cell_length_b 4.125
_cell_length_c 2.776
_cell_angle_alpha 90.00
_cell_angle_beta 90.00
_cell_angle_gamma 90.00
loop_
_atom_site_label
_atom_site_type_symbol
_atom_site_fract_x
_atom_site_fract_y
_atom_site_fract_z
V1 V 0.000 0.000 0.000
Cu1 Cu 0.500 0.500 0.000
Ni1 Ni 0.000 0.500 0.500
```

[6]
Compound: VCu2Ni
Source: Alexandria
Functional: PBE-GGA
Structure: relaxed

Computed properties:
ΔH_f (0 K) in eV per atom: 0.52
Final energy in eV per atom: -5.2571

Structure (CIF):
```
data_VCu2Ni
_chemical_formula_sum 'V4 Cu8 Ni4'
_symmetry_space_group_name_H-M 'I -4 2 d'
_symmetry_Int_Tables_number 122
_symmetry_space_group_name_Hall 'I -4 2bw'
_cell_length_a 6.672
_cell_length_b 6.672
_cell_length_c 4.838
_cell_angle_alpha 90.00
_cell_angle_beta 90.00
_cell_angle_gamma 90.00
loop_
_atom_site_label
_atom_site_type_symbol
_atom_site_fract_x
_atom_site_fract_y
_atom_site_fract_z
V1 V 0.000 0.000 0.000
Cu1 Cu 0.232 0.250 0.625
Ni1 Ni 0.000 0.000 0.500
```

[7]
Compound: V2CuNi2
Source: Alexandria
Functional: PBE-GGA
Structure: relaxed

Computed properties:
ΔH_f (0 K) in eV per atom: 0.12
Final energy in eV per atom: -6.6622

Structure (CIF):
```
data_V2CuNi2
_chemical_formula_sum 'V4 Cu2 Ni4'
_symmetry_space_group_name_H-M 'P 4/m b m'
_symmetry_Int_Tables_number 127
_symmetry_space_group_name_Hall '-P 4 2ab'
_cell_length_a 7.125
_cell_length_b 7.125
_cell_length_c 2.512
_cell_angle_alpha 90.00
_cell_angle_beta 90.00
_cell_angle_gamma 90.00
loop_
_atom_site_label
_atom_site_type_symbol
_atom_site_fract_x
_atom_site_fract_y
_atom_site_fract_z
V1 V 0.120 0.380 0.000
Cu1 Cu 0.000 0.000 0.000
Ni1 Ni 0.176 0.676 0.500
```

[8]
Compound: VCuNi3
Source: Alexandria
Functional: PBE-GGA
Structure: relaxed

Computed properties:
ΔH_f (0 K) in eV per atom: 0.17
Final energy in eV per atom: -5.9433

Structure (CIF):
```
data_VCuNi3
_chemical_formula_sum 'V4 Cu4 Ni12'
_symmetry_space_group_name_H-M 'C m c m'
_symmetry_Int_Tables_number 63
_symmetry_space_group_name_Hall '-C 2c 2'
_cell_length_a 4.672
_cell_length_b 12.089
_cell_length_c 4.406
_cell_angle_alpha 90.00
_cell_angle_beta 90.00
_cell_angle_gamma 90.00
loop_
_atom_site_label
_atom_site_type_symbol
_atom_site_fract_x
_atom_site_fract_y
_atom_site_fract_z
V1 V 0.000 0.186 0.250
Cu1 Cu 0.000 0.440 0.750
Ni1 Ni 0.000 0.000 0.000
Ni2 Ni 0.247 0.352 0.250
```

[9]
Compound: VCu2Ni2
Source: Alexandria
Functional: PBE-GGA
Structure: relaxed

Computed properties:
ΔH_f (0 K) in eV per atom: 0.17
Final energy in eV per atom: -5.6082

Structure (CIF):
```
data_VCu2Ni2
_chemical_formula_sum 'V2 Cu4 Ni4'
_symmetry_space_group_name_H-M 'P 4/m b m'
_symmetry_Int_Tables_number 127
_symmetry_space_group_name_Hall '-P 4 2ab'
_cell_length_a 6.810
_cell_length_b 6.810
_cell_length_c 2.605
_cell_angle_alpha 90.00
_cell_angle_beta 90.00
_cell_angle_gamma 90.00
loop_
_atom_site_label
_atom_site_type_symbol
_atom_site_fract_x
_atom_site_fract_y
_atom_site_fract_z
V1 V 0.000 0.000 0.000
Cu1 Cu 0.169 0.331 0.500
Ni1 Ni 0.128 0.628 0.000
```

[10]
Compound: V3CuNi
Source: Alexandria
Functional: PBE-GGA
Structure: relaxed

Computed properties:
ΔH_f (0 K) in eV per atom: 1.37
Final energy in eV per atom: -6.0719

Structure (CIF):
```
data_V3CuNi
_chemical_formula_sum 'V3 Cu1 Ni1'
_symmetry_space_group_name_H-M 'P m -3 m'
_symmetry_Int_Tables_number 221
_symmetry_space_group_name_Hall '-P 4 2 3'
_cell_length_a 4.374
_cell_length_b 4.374
_cell_length_c 4.374
_cell_angle_alpha 90.00
_cell_angle_beta 90.00
_cell_angle_gamma 90.00
loop_
_atom_site_label
_atom_site_type_symbol
_atom_site_fract_x
_atom_site_fract_y
_atom_site_fract_z
V1 V 0.000 0.000 0.500
Cu1 Cu 0.000 0.000 0.000
Ni1 Ni 0.500 0.500 0.500
```

[11]
Compound: VZnCuNi
Source: Alexandria
Functional: PBE-GGA
Structure: relaxed

Computed properties:
ΔH_f (0 K) in eV per atom: -0.05
Final energy in eV per atom: -5.1168

Structure (CIF):
```
data_VZnCuNi
_chemical_formula_sum 'V4 Zn4 Cu4 Ni4'
_symmetry_space_group_name_H-M 'F -4 3 m'
_symmetry_Int_Tables_number 216
_symmetry_space_group_name_Hall 'F -4 2 3'
_cell_length_a 5.836
_cell_length_b 5.836
_cell_length_c 5.836
_cell_angle_alpha 90.00
_cell_angle_beta 90.00
_cell_angle_gamma 90.00
loop_
_atom_site_label
_atom_site_type_symbol
_atom_site_fract_x
_atom_site_fract_y
_atom_site_fract_z
V1 V 0.000 0.000 0.000
Zn1 Zn 0.000 0.000 0.500
Cu1 Cu 0.250 0.250 0.750
Ni1 Ni 0.250 0.250 0.250
```

[12]
Compound: VZnCuNi
Source: Alexandria
Functional: PBE-GGA
Structure: relaxed

Computed properties:
ΔH_f (0 K) in eV per atom: -0.10
Final energy in eV per atom: -5.1713

Structure (CIF):
```
data_VZnCuNi
_chemical_formula_sum 'V1 Zn1 Cu1 Ni1'
_symmetry_space_group_name_H-M 'P 4 m m'
_symmetry_Int_Tables_number 99
_cell_length_a 2.602
_cell_length_b 2.602
_cell_length_c 7.341
_cell_angle_alpha 90.00
_cell_angle_beta 90.00
_cell_angle_gamma 90.00
loop_
_symmetry_equiv_pos_as_xyz
'x,y,z'
'-y,x,z'
'-x,-y,z'
'y,-x,z'
'-x,y,z'
'y,x,z'
'x,-y,z'
'-y,-x,z'
loop_
_atom_site_label
_atom_site_type_symbol
_atom_site_fract_x
_atom_site_fract_y
_atom_site_fract_z
V1 V 0.000 0.000 0.000
Zn1 Zn 0.000 0.000 0.481
Cu1 Cu 0.500 0.500 0.738
Ni1 Ni 0.500 0.500 0.239
```

What did the eighth record say?
Compound: VCuNi3
Source: Alexandria
Functional: PBE-GGA
Structure: relaxed

Computed properties:
ΔH_f (0 K) in eV per atom: 0.17
Final energy in eV per atom: -5.9433

Structure (CIF):
```
data_VCuNi3
_chemical_formula_sum 'V4 Cu4 Ni12'
_symmetry_space_group_name_H-M 'C m c m'
_symmetry_Int_Tables_number 63
_symmetry_space_group_name_Hall '-C 2c 2'
_cell_length_a 4.672
_cell_length_b 12.089
_cell_length_c 4.406
_cell_angle_alpha 90.00
_cell_angle_beta 90.00
_cell_angle_gamma 90.00
loop_
_atom_site_label
_atom_site_type_symbol
_atom_site_fract_x
_atom_site_fract_y
_atom_site_fract_z
V1 V 0.000 0.186 0.250
Cu1 Cu 0.000 0.440 0.750
Ni1 Ni 0.000 0.000 0.000
Ni2 Ni 0.247 0.352 0.250
```

The highest final energy belongs to which entry? number 4